[1]
BaCaSi3: relaxed, PBE.

a = 8.1991 Å, b = 8.1991 Å, c = 4.4949 Å
α = 90.00°, β = 90.00°, γ = 114.06°
Positions (direct):
Ba (0.0000, 0.0000, 0.0000)
Ba (0.5000, 0.5000, 0.0000)
Ca (0.0000, 0.5000, 0.0000)
Ca (0.5000, 0.0000, 0.0000)
Si (0.1427, 0.3193, 0.5000)
Si (0.1788, 0.8212, 0.5000)
Si (0.3193, 0.1427, 0.5000)
Si (0.6807, 0.8573, 0.5000)
Si (0.8212, 0.1788, 0.5000)
Si (0.8573, 0.6807, 0.5000)

Properties
As for the crystal system: orthorhombic. The value obtained for the total energy is -4.299 eV per atom. Its energy above the most stable polymorph in this dataset is 0.00 kJ/mol of atoms.

***

[2]
Er2B6Ir: relaxed, PBE.

a = 6.6496 Å, b = 6.6496 Å, c = 6.6496 Å
α = 149.91°, β = 132.64°, γ = 57.14°
Positions (direct):
Er (0.1624, 0.1624, 0.0000)
Er (0.8376, 0.8376, 0.0000)
B (0.1682, 0.5000, 0.6682)
B (0.2280, 0.3783, 0.8497)
B (0.4714, 0.6217, 0.8497)
B (0.5286, 0.3783, 0.1503)
B (0.7720, 0.6217, 0.1503)
B (0.8318, 0.5000, 0.3318)
Ir (0.5000, 0.0000, 0.5000)

Properties
As for the crystal system: orthorhombic. The value obtained for the total energy is -6.786 eV per atom. Its energy relative to the elements is -0.34 eV per atom.

***

[3]
TmHfCS: relaxed, PBE.

a = 6.5836 Å, b = 6.5836 Å, c = 6.5836 Å
α = 30.58°, β = 30.58°, γ = 30.58°
Positions (direct):
Tm (0.0000, 0.0000, 0.0000)
Hf (0.1976, 0.1976, 0.1976)
C (0.5892, 0.5892, 0.5892)
S (0.7698, 0.7698, 0.7698)

Properties
As for the crystal system: trigonal. The value obtained for the total energy is -8.234 eV per atom.

***

[4]
Tc2AgOs: relaxed, PBE.

a = 9.4506 Å, b = 9.4506 Å, c = 9.4506 Å
α = 16.74°, β = 16.74°, γ = 16.74°
Positions (direct):
Tc (0.0000, 0.0000, 0.0000)
Tc (0.2561, 0.2561, 0.2561)
Ag (0.7558, 0.7558, 0.7558)
Os (0.5117, 0.5117, 0.5117)

Properties
As for the crystal system: trigonal. The value obtained for the total energy is -8.439 eV per atom. Its energy above the most stable polymorph in this dataset is 0.00 kJ/mol of atoms. Its energy relative to the elements is 0.26 eV per atom.

***

[5]
LiGeTe2Cl: relaxed, PBE.

a = 5.4794 Å, b = 5.4794 Å, c = 5.1487 Å
α = 90.00°, β = 90.00°, γ = 90.00°
Positions (direct):
Li (0.0000, 0.0000, 0.0000)
Ge (0.5000, 0.5000, 0.5000)
Te (0.0000, 0.5000, 0.5000)
Te (0.5000, 0.0000, 0.5000)
Cl (0.5000, 0.5000, 0.0000)

Properties
As for the crystal system: tetragonal. The value obtained for the total energy is -3.105 eV per atom.

***

[6]
Pu2Co3C: relaxed, PBE.

a = 7.7125 Å, b = 7.5539 Å, c = 5.1946 Å
α = 71.76°, β = 68.47°, γ = 39.77°
Positions (direct):
Pu (0.2232, 0.7768, 0.2232)
Pu (0.2500, 0.2500, 0.2500)
Pu (0.7500, 0.7500, 0.7500)
Pu (0.7768, 0.2232, 0.7768)
Co (0.1625, 0.1625, 0.8375)
Co (0.2255, 0.5903, 0.7745)
Co (0.4097, 0.7745, 0.5903)
Co (0.5903, 0.2255, 0.4097)
Co (0.7745, 0.4097, 0.2255)
Co (0.8375, 0.8375, 0.1625)
C (0.3034, 0.3034, 0.6966)
C (0.6966, 0.6966, 0.3034)

Properties
As for the crystal system: orthorhombic. The value obtained for the total energy is -9.856 eV per atom. Its energy relative to the elements is 0.01 eV per atom.

***

[7]
HoMnH4: relaxed, PBE.

a = 3.2790 Å, b = 3.2790 Å, c = 4.6090 Å
α = 90.00°, β = 90.00°, γ = 90.00°
Positions (direct):
Ho (0.0000, 0.0000, 0.0000)
Mn (0.5000, 0.5000, 0.5000)
H (0.0000, 0.5000, 0.3078)
H (0.0000, 0.5000, 0.6922)
H (0.5000, 0.0000, 0.3078)
H (0.5000, 0.0000, 0.6922)

Properties
As for the crystal system: tetragonal. The value obtained for the total energy is -4.774 eV per atom.

***

[8]
Ca5Ce: relaxed, PBE.

a = 9.7900 Å, b = 9.7900 Å, c = 4.1790 Å
α = 90.00°, β = 90.00°, γ = 143.16°
Positions (direct):
Ca (0.0000, 0.0000, 0.0000)
Ca (0.1639, 0.8361, 0.5000)
Ca (0.3356, 0.6644, 0.0000)
Ca (0.6644, 0.3356, 0.0000)
Ca (0.8361, 0.1639, 0.5000)
Ce (0.5000, 0.5000, 0.5000)

Properties
As for the crystal system: orthorhombic. The value obtained for the total energy is -2.513 eV per atom. Its energy relative to the elements is 0.14 eV per atom.

***

[9]
SiNi: relaxed, PBE.

a = 3.6396 Å, b = 3.6396 Å, c = 3.6396 Å
α = 60.00°, β = 60.00°, γ = 60.00°
Positions (direct):
Si (0.0000, 0.0000, 0.0000)
Ni (0.7500, 0.7500, 0.7500)

Properties
As for the crystal system: cubic. The value obtained for the total energy is -5.363 eV per atom.